{
  "formula": "Ti3VS6",
  "functional": "meta-GGA SCAN",
  "state": "single point on PBEsol structure",
  "lattice": [[5.791, 0.000, 0.000], [2.896, 5.015, 0.000], [2.896, 1.672, 5.670]],
  "species": ["S", "S", "S", "S", "S", "S", "V", "Ti", "Ti", "Ti"],
  "frac_coords": [[0.419, 0.086, 0.740], [0.581, 0.914, 0.260], [0.755, 0.419, 0.740], [0.086, 0.755, 0.740], [0.914, 0.245, 0.260], [0.245, 0.581, 0.260], [0.500, 0.500, 0.500], [0.668, 0.668, 0.996], [0.332, 0.332, 0.004], [0.000, 0.000, 0.000]],
  "spacegroup": "R-3 (148)",
  "e_form_raw_kcal_per_mol_atoms": -35.06,
  "e_tot_ha_per_atom": -0.5092,
  "magmom_total_mub_per_fu": 2.08
}

---

{
  "formula": "ZrTiWS2",
  "functional": "meta-GGA SCAN",
  "state": "single point on PBEsol structure",
  "lattice": [[-4.081, 1.779, -0.388], [-1.750, -3.571, 2.038], [0.547, 2.195, 4.317]],
  "species": ["Ti", "S", "S", "Zr", "W"],
  "frac_coords": [[0.000, 0.000, 0.000], [0.000, 0.500, 0.000], [0.500, 0.000, 0.000], [0.000, 0.000, 0.500], [0.500, 0.500, 0.500]],
  "spacegroup": "P4/mmm (123)",
  "e_form_raw_kcal_per_mol_atoms": 20.61,
  "e_tot_ha_per_atom": -0.9643,
  "magmom_total_mub_per_fu": 2.09
}

---

{
  "formula": "Ti9ZnS16",
  "functional": "meta-GGA SCAN",
  "state": "single point on PBEsol structure",
  "lattice": [[6.917, 0.005, 0.000], [-0.137, 9.674, 0.000], [0.000, 0.000, 13.738]],
  "species": ["S", "S", "S", "S", "S", "S", "S", "S", "S", "S", "S", "S", "S", "S", "S", "S", "S", "S", "S", "S", "S", "S", "S", "S", "S", "S", "S", "S", "S", "S", "S", "S", "Ti", "Ti", "Ti", "Ti", "Ti", "Ti", "Ti", "Ti", "Ti", "Ti", "Ti", "Ti", "Ti", "Ti", "Ti", "Ti", "Ti", "Ti", "Zn", "Zn"],
  "frac_coords": [[0.500, 0.247, 0.620], [0.980, 0.255, 0.874], [0.988, 0.751, 0.623], [0.001, 0.752, 0.869], [0.501, 0.252, 0.131], [0.523, 0.257, 0.876], [0.755, 0.995, 0.495], [0.480, 0.755, 0.126], [0.023, 0.757, 0.124], [0.250, 0.499, 0.992], [0.750, 0.495, 0.259], [0.007, 0.249, 0.621], [0.247, 0.005, 0.256], [0.507, 0.749, 0.379], [0.488, 0.251, 0.377], [0.255, 0.495, 0.505], [0.750, 0.999, 0.008], [0.748, 0.494, 0.988], [0.748, 0.002, 0.747], [0.747, 0.505, 0.744], [0.250, 0.995, 0.741], [0.500, 0.749, 0.623], [0.255, 0.490, 0.742], [0.000, 0.747, 0.380], [0.248, 0.002, 0.499], [0.248, 0.994, 0.012], [0.000, 0.256, 0.130], [0.748, 0.502, 0.501], [0.755, 0.990, 0.258], [0.248, 0.502, 0.253], [0.500, 0.756, 0.870], [0.000, 0.249, 0.377], [0.490, 0.499, 0.377], [0.990, 0.999, 0.623], [0.009, 0.497, 0.381], [0.508, 0.007, 0.135], [0.248, 0.749, 0.263], [0.250, 0.743, 0.744], [0.008, 0.507, 0.865], [0.001, 0.504, 0.625], [0.748, 0.249, 0.737], [0.749, 0.249, 0.496], [0.752, 0.240, 0.017], [0.750, 0.243, 0.256], [0.249, 0.749, 0.504], [0.490, 0.510, 0.865], [0.990, 0.010, 0.135], [0.252, 0.740, 0.983], [0.509, 0.997, 0.619], [0.501, 0.004, 0.375], [0.251, 0.127, 0.877], [0.751, 0.627, 0.123]],
  "spacegroup": "Pc (7)",
  "e_form_raw_kcal_per_mol_atoms": -34.61,
  "e_tot_ha_per_atom": -0.4959,
  "magmom_total_mub_per_fu": 0.00
}

---

{
  "formula": "Ti2ZnS4",
  "functional": "meta-GGA SCAN",
  "state": "single point on PBEsol structure",
  "lattice": [[7.068, 0.000, 0.000], [3.534, 6.121, 0.000], [3.534, 2.040, 5.771]],
  "species": ["S", "S", "S", "S", "S", "S", "S", "S", "Ti", "Ti", "Ti", "Ti", "Zn", "Zn"],
  "frac_coords": [[0.381, 0.381, 0.381], [0.857, 0.381, 0.381], [0.393, 0.869, 0.869], [0.869, 0.869, 0.869], [0.869, 0.393, 0.869], [0.381, 0.381, 0.857], [0.869, 0.869, 0.393], [0.381, 0.857, 0.381], [0.625, 0.125, 0.625], [0.625, 0.625, 0.125], [0.625, 0.625, 0.625], [0.125, 0.625, 0.625], [0.000, 0.000, 0.000], [0.250, 0.250, 0.250]],
  "spacegroup": "Fd-3m (227)",
  "e_form_raw_kcal_per_mol_atoms": -31.85,
  "e_tot_ha_per_atom": -0.4922,
  "magmom_total_mub_per_fu": 1.62
}

---

{
  "formula": "TiZnS3",
  "functional": "meta-GGA SCAN",
  "state": "single point on PBEsol structure",
  "lattice": [[-2.162, -1.533, 3.675], [3.856, -1.850, 1.496], [0.994, 3.841, 2.187]],
  "species": ["Ti", "S", "S", "S", "Zn"],
  "frac_coords": [[0.500, 0.500, 0.500], [0.000, 0.000, 0.500], [0.000, 0.500, 0.000], [0.500, 0.000, 0.000], [0.000, 0.000, 0.000]],
  "spacegroup": "Pm-3m (221)",
  "e_form_raw_kcal_per_mol_atoms": 3.18,
  "e_tot_ha_per_atom": -0.4244,
  "magmom_total_mub_per_fu": 1.19
}

---

{
  "formula": "TlS",
  "functional": "meta-GGA SCAN",
  "state": "single point on PBEsol structure",
  "lattice": [[3.979, 0.000, 0.000], [1.990, 3.446, 0.000], [1.990, 1.149, 6.962]],
  "species": ["Tl", "Tl", "S", "S"],
  "frac_coords": [[0.500, 0.500, 0.500], [0.000, 0.000, 0.000], [0.261, 0.261, 0.216], [0.739, 0.739, 0.784]],
  "spacegroup": "R-3m (166)",
  "e_form_raw_kcal_per_mol_atoms": -5.40,
  "e_tot_ha_per_atom": -1.5151,
  "magmom_total_mub_per_fu": 0.00
}

---

{
  "formula": "Tl4S3",
  "functional": "meta-GGA SCAN",
  "state": "single point on PBEsol structure",
  "lattice": [[7.883, 0.017, 0.000], [-1.853, 7.463, 0.000], [0.000, 0.000, 12.772]],
  "species": ["S", "S", "S", "S", "S", "S", "S", "S", "S", "S", "S", "S", "Tl", "Tl", "Tl", "Tl", "Tl", "Tl", "Tl", "Tl", "Tl", "Tl", "Tl", "Tl", "Tl", "Tl", "Tl", "Tl"],
  "frac_coords": [[0.946, 0.083, 0.143], [0.034, 0.765, 0.539], [0.233, 0.445, 0.750], [0.966, 0.235, 0.461], [0.054, 0.917, 0.857], [0.466, 0.235, 0.039], [0.267, 0.555, 0.250], [0.446, 0.083, 0.357], [0.733, 0.445, 0.750], [0.554, 0.917, 0.643], [0.534, 0.765, 0.961], [0.767, 0.555, 0.250], [0.713, 0.887, 0.446], [0.213, 0.887, 0.054], [0.036, 0.664, 0.730], [0.787, 0.113, 0.946], [0.090, 0.867, 0.309], [0.964, 0.336, 0.270], [0.536, 0.664, 0.770], [0.714, 0.447, 0.501], [0.910, 0.133, 0.691], [0.590, 0.867, 0.191], [0.410, 0.133, 0.809], [0.214, 0.447, 0.999], [0.464, 0.336, 0.230], [0.286, 0.553, 0.499], [0.287, 0.113, 0.554], [0.786, 0.553, 0.001]],
  "spacegroup": "P2_1/c (14)",
  "e_form_raw_kcal_per_mol_atoms": -7.42,
  "e_tot_ha_per_atom": -1.6830,
  "magmom_total_mub_per_fu": 0.00
}

---

{
  "formula": "TlS",
  "functional": "meta-GGA SCAN",
  "state": "single point on PBEsol structure",
  "lattice": [[-6.089, -1.229, -1.520], [1.573, -0.874, 6.136], [0.952, 6.201, -1.239]],
  "species": ["Tl", "Tl", "Tl", "Tl", "S", "S", "S", "S"],
  "frac_coords": [[0.250, 0.750, 0.500], [0.250, 0.250, 0.000], [0.750, 0.750, 0.000], [0.750, 0.250, 0.500], [0.177, 0.677, 0.854], [0.323, 0.177, 0.500], [0.677, 0.823, 0.500], [0.823, 0.323, 0.146]],
  "spacegroup": "I4/mcm (140)",
  "e_form_raw_kcal_per_mol_atoms": -5.90,
  "e_tot_ha_per_atom": -1.5159,
  "magmom_total_mub_per_fu": 0.00
}

---

{
  "formula": "TmTlS2",
  "functional": "meta-GGA SCAN",
  "state": "single point on PBEsol structure",
  "lattice": [[3.897, 0.000, 0.000], [1.948, 3.375, 0.000], [1.948, 1.125, 7.375]],
  "species": ["S", "S", "Tl", "Tm"],
  "frac_coords": [[0.733, 0.733, 0.801], [0.267, 0.267, 0.199], [0.500, 0.500, 0.500], [0.000, 0.000, 0.000]],
  "spacegroup": "R-3m (166)",
  "e_form_raw_kcal_per_mol_atoms": -38.76,
  "e_tot_ha_per_atom": -1.3797,
  "magmom_total_mub_per_fu": 0.00
}

---

{
  "formula": "TlV5S8",
  "functional": "meta-GGA SCAN",
  "state": "single point on PBEsol structure",
  "lattice": [[-0.625, -3.115, -0.144], [6.857, -1.157, -4.701], [3.100, 0.628, 8.077]],
  "species": ["V", "V", "V", "V", "V", "S", "S", "S", "S", "S", "S", "S", "S", "Tl"],
  "frac_coords": [[0.645, 0.498, 0.291], [0.711, 0.859, 0.422], [0.355, 0.502, 0.709], [0.289, 0.141, 0.578], [0.000, 0.500, 0.000], [0.573, 0.686, 0.146], [0.758, 0.342, 0.516], [0.158, 0.002, 0.316], [0.085, 0.316, 0.170], [0.427, 0.314, 0.854], [0.842, 0.998, 0.684], [0.915, 0.684, 0.830], [0.242, 0.658, 0.484], [0.500, 0.000, 0.000]],
  "spacegroup": "C2/m (12)",
  "e_form_raw_kcal_per_mol_atoms": -23.86,
  "e_tot_ha_per_atom": -0.6597,
  "magmom_total_mub_per_fu": 1.50
}

---

{
  "formula": "TlWS2",
  "functional": "meta-GGA SCAN",
  "state": "single point on PBEsol structure",
  "lattice": [[3.200, 0.000, 0.000], [1.600, 2.771, 0.000], [1.600, 0.924, 9.228]],
  "species": ["S", "S", "Tl", "W"],
  "frac_coords": [[0.110, 0.110, 0.670], [0.890, 0.890, 0.330], [0.000, 0.000, 0.000], [0.500, 0.500, 0.500]],
  "spacegroup": "R-3m (166)",
  "e_form_raw_kcal_per_mol_atoms": -8.66,
  "e_tot_ha_per_atom": -1.4957,
  "magmom_total_mub_per_fu": 0.00
}

---

{
  "formula": "Tm8S11",
  "functional": "meta-GGA SCAN",
  "state": "single point on PBEsol structure",
  "lattice": [[3.706, 0.000, 0.000], [-1.853, 6.255, 0.000], [0.000, 0.000, 34.533]],
  "species": ["S", "S", "S", "S", "S", "S", "S", "S", "S", "S", "S", "S", "S", "S", "S", "S", "S", "S", "S", "S", "S", "S", "Tm", "Tm", "Tm", "Tm", "Tm", "Tm", "Tm", "Tm", "Tm", "Tm", "Tm", "Tm", "Tm", "Tm", "Tm", "Tm"],
  "frac_coords": [[0.667, 0.334, 0.611], [0.600, 0.200, 0.164], [0.400, 0.800, 0.836], [0.089, 0.178, 0.069], [0.333, 0.666, 0.389], [0.884, 0.767, 0.204], [0.116, 0.233, 0.704], [0.142, 0.285, 0.250], [0.089, 0.178, 0.431], [0.400, 0.800, 0.664], [0.911, 0.822, 0.569], [0.333, 0.666, 0.111], [0.667, 0.334, 0.889], [0.884, 0.767, 0.296], [0.858, 0.715, 0.750], [0.353, 0.705, 0.016], [0.647, 0.295, 0.516], [0.647, 0.295, 0.984], [0.600, 0.200, 0.336], [0.353, 0.705, 0.484], [0.911, 0.822, 0.931], [0.116, 0.233, 0.796], [0.022, 0.043, 0.633], [0.239, 0.478, 0.317], [0.022, 0.043, 0.867], [0.978, 0.957, 0.367], [0.258, 0.515, 0.558], [0.742, 0.485, 0.058], [0.489, 0.979, 0.250], [0.742, 0.485, 0.442], [0.000, 0.000, 0.500], [0.239, 0.478, 0.183], [0.978, 0.957, 0.133], [0.761, 0.522, 0.817], [0.511, 0.021, 0.750], [0.258, 0.515, 0.942], [0.000, 0.000, 0.000], [0.761, 0.522, 0.683]],
  "spacegroup": "Cmcm (63)",
  "e_form_raw_kcal_per_mol_atoms": -53.62,
  "e_tot_ha_per_atom": -1.0923,
  "magmom_total_mub_per_fu": 0.00
}

---

{
  "formula": "Tm5S7",
  "functional": "meta-GGA SCAN",
  "state": "single point on PBEsol structure",
  "lattice": [[-0.956, 2.199, 2.823], [-1.611, -6.057, 1.743], [10.876, 0.897, 2.983]],
  "species": ["S", "S", "S", "S", "S", "S", "S", "Tm", "Tm", "Tm", "Tm", "Tm"],
  "frac_coords": [[0.340, 0.681, 0.949], [0.259, 0.518, 0.648], [0.040, 0.081, 0.785], [0.660, 0.319, 0.051], [0.960, 0.919, 0.215], [0.741, 0.482, 0.352], [0.500, 0.000, 0.500], [0.113, 0.225, 0.422], [0.887, 0.775, 0.578], [0.000, 0.000, 0.000], [0.700, 0.400, 0.812], [0.300, 0.600, 0.188]],
  "spacegroup": "C2/m (12)",
  "e_form_raw_kcal_per_mol_atoms": -53.83,
  "e_tot_ha_per_atom": -1.0858,
  "magmom_total_mub_per_fu": 0.00
}

---

{
  "formula": "US2",
  "functional": "meta-GGA SCAN",
  "state": "single point on PBEsol structure",
  "lattice": [[-0.425, -3.868, 0.528], [6.893, -0.790, -0.240], [0.411, 1.081, 8.247]],
  "species": ["S", "S", "S", "S", "S", "S", "S", "S", "U", "U", "U", "U"],
  "frac_coords": [[0.750, 0.966, 0.668], [0.250, 0.638, 0.567], [0.250, 0.138, 0.933], [0.250, 0.034, 0.332], [0.750, 0.466, 0.832], [0.750, 0.862, 0.067], [0.250, 0.534, 0.168], [0.750, 0.362, 0.433], [0.750, 0.251, 0.128], [0.250, 0.749, 0.872], [0.750, 0.751, 0.372], [0.250, 0.249, 0.628]],
  "spacegroup": "Pnma (62)",
  "e_form_raw_kcal_per_mol_atoms": -32.50,
  "e_tot_ha_per_atom": -1.5559,
  "magmom_total_mub_per_fu": 2.00
}

---

{
  "formula": "US",
  "functional": "meta-GGA SCAN",
  "state": "single point on PBEsol structure",
  "lattice": [[-1.034, 0.545, 3.612], [-2.932, -1.930, 1.447], [0.605, -2.720, 2.579]],
  "species": ["U", "S"],
  "frac_coords": [[0.000, 0.000, 0.000], [0.500, 0.500, 0.500]],
  "spacegroup": "Fm-3m (225)",
  "e_form_raw_kcal_per_mol_atoms": -28.94,
  "e_tot_ha_per_atom": -2.1253,
  "magmom_total_mub_per_fu": 2.30
}

---

{
  "formula": "V3S",
  "functional": "meta-GGA SCAN",
  "state": "single point on PBEsol structure",
  "lattice": [[4.503, 0.000, 0.000], [2.252, 6.590, 0.000], [2.252, 0.000, 6.590]],
  "species": ["V", "V", "V", "V", "V", "V", "V", "V", "V", "V", "V", "V", "S", "S", "S", "S"],
  "frac_coords": [[0.148, 0.000, 0.182], [0.358, 0.642, 0.642], [0.539, 0.000, 0.401], [0.000, 0.358, 0.642], [0.939, 0.000, 0.599], [0.061, 0.401, 0.000], [0.670, 0.182, 0.000], [0.000, 0.642, 0.358], [0.461, 0.599, 0.000], [0.330, 0.000, 0.818], [0.642, 0.358, 0.358], [0.852, 0.818, 0.000], [0.789, 0.711, 0.711], [0.211, 0.289, 0.289], [0.500, 0.289, 0.711], [0.500, 0.711, 0.289]],
  "spacegroup": "I-42m (121)",
  "e_form_raw_kcal_per_mol_atoms": -14.10,
  "e_tot_ha_per_atom": -0.5929,
  "magmom_total_mub_per_fu": 0.00
}

---

{
  "formula": "V3S",
  "functional": "meta-GGA SCAN",
  "state": "single point on PBEsol structure",
  "lattice": [[-2.362, -3.812, -0.989], [5.818, -4.940, 5.148], [-5.337, 1.396, 7.370]],
  "species": ["V", "V", "V", "V", "V", "V", "V", "V", "V", "V", "V", "V", "V", "V", "V", "V", "V", "V", "V", "V", "V", "V", "V", "V", "S", "S", "S", "S", "S", "S", "S", "S"],
  "frac_coords": [[0.000, 0.590, 0.910], [0.750, 0.353, 0.500], [0.000, 0.410, 0.090], [0.750, 0.853, 0.000], [0.250, 0.000, 0.853], [0.500, 0.297, 0.203], [0.750, 0.647, 0.500], [0.250, 0.000, 0.147], [0.500, 0.590, 0.090], [0.250, 0.500, 0.353], [0.250, 0.500, 0.647], [0.750, 0.147, 0.000], [0.000, 0.910, 0.410], [0.500, 0.410, 0.910], [0.000, 0.203, 0.297], [0.500, 0.910, 0.590], [0.500, 0.797, 0.297], [0.500, 0.703, 0.797], [0.500, 0.203, 0.703], [0.000, 0.090, 0.590], [0.000, 0.297, 0.797], [0.000, 0.703, 0.203], [0.000, 0.797, 0.703], [0.500, 0.090, 0.410], [0.750, 0.000, 0.791], [0.250, 0.791, 0.000], [0.750, 0.500, 0.291], [0.750, 0.000, 0.209], [0.750, 0.500, 0.709], [0.250, 0.291, 0.500], [0.250, 0.709, 0.500], [0.250, 0.209, 0.000]],
  "spacegroup": "P4_2/nbc (133)",
  "e_form_raw_kcal_per_mol_atoms": -14.39,
  "e_tot_ha_per_atom": -0.5934,
  "magmom_total_mub_per_fu": 0.00
}

---

{
  "formula": "V3S5",
  "functional": "meta-GGA SCAN",
  "state": "single point on PBEsol structure",
  "lattice": [[-3.578, -0.804, 4.115], [-0.159, -6.368, -1.419], [7.106, 1.920, 2.910]],
  "species": ["V", "V", "V", "V", "V", "V", "S", "S", "S", "S", "S", "S", "S", "S", "S", "S"],
  "frac_coords": [[0.392, 0.287, 0.283], [0.187, 0.893, 0.894], [0.813, 0.107, 0.106], [0.608, 0.713, 0.717], [0.500, 0.000, 0.500], [0.000, 0.500, 0.500], [0.318, 0.548, 0.802], [0.113, 0.147, 0.403], [0.080, 0.254, 0.994], [0.285, 0.646, 0.398], [0.887, 0.853, 0.597], [0.920, 0.746, 0.006], [0.483, 0.059, 0.805], [0.682, 0.452, 0.198], [0.517, 0.941, 0.195], [0.715, 0.354, 0.602]],
  "spacegroup": "P-1 (2)",
  "e_form_raw_kcal_per_mol_atoms": -24.36,
  "e_tot_ha_per_atom": -0.5010,
  "magmom_total_mub_per_fu": 1.12
}

---

| no. | volume (Å³/cell) |
| --- | --- |
| 1 | 164.68 |
| 2 | 97.33 |
| 3 | 919.28 |
| 4 | 249.72 |
| 5 | 92.99 |
| 6 | 95.46 |
| 7 | 751.75 |
| 8 | 199.41 |
| 9 | 97.00 |
| 10 | 220.79 |
| 11 | 81.82 |
| 12 | 800.46 |
| 13 | 252.91 |
| 14 | 227.05 |
| 15 | 38.70 |
| 16 | 195.56 |
| 17 | 389.25 |
| 18 | 249.27 |